1.
# K3AlB2O6

An optimized crystal structure of K3AlB2O6 (GGA-PBE, Alexandria via LeMat-Bulk).

Computed properties:
Total moment (μB/f.u.): 0.00
Formation energy from raw total energies (eV per atom): -2.255
Space group: P-3m1
Crystal system: trigonal

Lattice parameters (Å, degrees): 5.2007 5.2007 6.6538 90.00 90.00 120.00
Last column: nearest neighbours and their distance in Å.
Sites, in units of the cell vectors:
O: 0.3563 0.1782 0.6737  1 B 1.40
O: 0.8218 0.1782 0.6737  1 B 1.40
O: 0.1782 0.3563 0.3263  1 B 1.40
O: 0.6437 0.8218 0.3263  1 B 1.40
O: 0.1782 0.8218 0.3263  1 B 1.40
O: 0.8218 0.6437 0.6737  1 B 1.40
K: 0.3333 0.6667 0.7555  6 O 2.66, 1 B 2.82
K: 0.0000 0.0000 0.0000  6 O 2.70
K: 0.6667 0.3333 0.2445  6 O 2.66, 1 B 2.82
B: 0.3333 0.6667 0.3310  3 O 1.40
B: 0.6667 0.3333 0.6690  3 O 1.40
Al: 0.0000 0.0000 0.5000  6 O 1.98

***

2.
# MoP4Rh

An optimized crystal structure of MoP4Rh (GGA-PBE, Alexandria via LeMat-Bulk).

Computed properties:
Total moment (μB/f.u.): 0.01
Space group: F-43m
Formation energy (eV per atom): 0.622
Crystal system: cubic

Lattice parameters (Å, degrees): 4.9098 4.9098 4.9098 60.00 60.00 60.00
Last column: nearest neighbours and their distance in Å.
Sites, in units of the cell vectors:
Mo: 0.0000 0.0000 0.0000  12 P 2.88, 4 Rh 3.01
P: 0.3751 0.3751 0.3751  6 P 2.45-2.46
P: 0.3751 0.3751 0.8746  6 P 2.45-2.46
P: 0.8746 0.3751 0.3751  6 P 2.45-2.46
P: 0.3751 0.8746 0.3751  6 P 2.45-2.46
Rh: 0.7500 0.7500 0.7500  12 P 2.88, 4 Mo 3.01

***

3.
# K2TmTlBr6

An optimized crystal structure of K2TmTlBr6 (GGA-PBE, Alexandria via LeMat-Bulk).

Computed properties:
Total moment (μB/f.u.): 0.00
Formation energy from raw total energies (eV per atom): -1.636
Space group: P1
Crystal system: triclinic

Lattice parameters (Å, degrees): 8.0812 8.0801 8.3940 61.21 61.19 59.95
Last column: nearest neighbours and their distance in Å.
Sites, in units of the cell vectors:
Br: 0.4277 0.6681 0.7822  1 Tm 2.80
Br: 0.5580 0.2102 0.2445  1 Tm 2.77
Br: 0.9869 0.5585 0.2444  1 Tm 2.77
Br: 0.1221 0.4278 0.7821  1 Tm 2.80
Br: 0.6685 0.1216 0.7822  1 Tm 2.80
Br: 0.2101 0.9873 0.2446  1 Tm 2.77
K: 0.5313 0.5309 0.4067  6 Br 3.34-3.43
K: 0.0195 0.0198 0.9415  6 Br 3.28-3.41
Tm: 0.3240 0.3239 0.0282  6 Br 2.77-2.80
Tl: 0.8136 0.8136 0.5587  6 Br 3.25-3.46

***

4.
# TaZn2Ni4

An optimized crystal structure of TaZn2Ni4 (GGA-PBE, Alexandria via LeMat-Bulk).

Computed properties:
Total moment (μB/f.u.): 0.00
Space group: I4/mmm
Formation energy (eV per atom): -0.062
Crystal system: tetragonal

Lattice parameters (Å, degrees): 3.5980 3.5980 7.6778 103.55 103.55 90.00
Last column: nearest neighbours and their distance in Å.
Sites, in units of the cell vectors:
Zn: 0.2547 0.2547 0.5093  8 Ni 2.53-2.63, 4 Zn 2.55
Zn: 0.7453 0.7453 0.4907  8 Ni 2.53-2.63, 4 Zn 2.55
Ni: 0.1221 0.6221 0.2441  2 Ta 2.52, 4 Zn 2.53-2.63, 4 Ni 2.54
Ni: 0.6221 0.1221 0.2441  2 Ta 2.52, 4 Zn 2.53-2.63, 4 Ni 2.54
Ni: 0.3779 0.8779 0.7559  2 Ta 2.52, 4 Zn 2.53-2.63, 4 Ni 2.54
Ni: 0.8779 0.3779 0.7559  2 Ta 2.52, 4 Zn 2.53-2.63, 4 Ni 2.54
Ta: 0.0000 0.0000 0.0000  8 Ni 2.52

***

5.
# AlIn2Sn

An optimized crystal structure of AlIn2Sn (GGA-PBE, Alexandria via LeMat-Bulk).

Computed properties:
Total moment (μB/f.u.): 0.00
Space group: R-3m
Formation energy (eV per atom): 0.184
Crystal system: trigonal

Lattice parameters (Å, degrees): 3.2396 3.2396 11.5896 81.97 81.97 60.00
Last column: nearest neighbours and their distance in Å.
Sites, in units of the cell vectors:
Al: 0.0000 0.0000 0.0000  2 In 2.87
In: 0.9162 0.9162 0.2513  1 Al 2.87
In: 0.0838 0.0838 0.7487  1 Al 2.87
Sn: 0.5000 0.5000 0.5000  6 Sn 3.24, 6 In 3.40

***

6.
# Ti2ZnOs

An optimized crystal structure of Ti2ZnOs (GGA-PBE, Alexandria via LeMat-Bulk).

Computed properties:
Total moment (μB/f.u.): 0.00
Space group: I-42d
Formation energy (eV per atom): 0.144
Crystal system: tetragonal

Lattice parameters (Å, degrees): 7.1328 7.1328 5.6911 51.20 51.20 90.00
Last column: nearest neighbours and their distance in Å.
Sites, in units of the cell vectors:
Ti: 0.0940 0.6250 0.2500  2 Os 2.46, 2 Ti 2.67
Ti: 0.6560 0.1250 0.2500  2 Os 2.46, 2 Ti 2.67
Ti: 0.8750 0.9060 0.7500  2 Os 2.46, 2 Ti 2.67
Ti: 0.3750 0.3440 0.7500  2 Os 2.46, 2 Ti 2.67
Os: 0.0000 0.0000 0.0000  4 Ti 2.46, 2 Zn 2.64
Os: 0.7500 0.2500 0.5000  4 Ti 2.46, 2 Zn 2.64
Zn: 0.5000 0.5000 0.0000  2 Os 2.64, 4 Ti 2.76
Zn: 0.2500 0.7500 0.5000  2 Os 2.64, 4 Ti 2.76